Record 1
Crystalline CaSc3Si at its relaxed geometry, computed with PBEsol.

extended XYZ file:
```
5
Lattice="4.8467 0.0000 0.0000 0.0000 4.8467 0.0000 0.0000 0.0000 4.8467" Properties=species:S:1:pos:R:3 pbc="T T T"
Sc 0.0000 2.4233 0.0000
Sc 0.0000 0.0000 2.4233
Sc 2.4233 0.0000 0.0000
Ca 0.0000 0.0000 0.0000
Si 2.4233 2.4233 2.4233
```

* space-group type: Pm-3m
* formation energy (no corrections): 1258 meV per atom
* ΔE to the lowest computed polymorph: 1.304 eV per atom


Record 2
Crystalline Sr3HgN at its relaxed geometry, computed with PBEsol.

extended XYZ file:
```
5
Lattice="5.1918 0.0000 0.0000 0.0000 5.1918 0.0000 0.0000 0.0000 5.1918" Properties=species:S:1:pos:R:3 pbc="T T T"
Sr 0.0000 2.5959 0.0000
Sr 0.0000 0.0000 2.5959
Sr 2.5959 0.0000 0.0000
Hg 2.5959 2.5959 2.5959
N 0.0000 0.0000 0.0000
```

* space-group type: Pm-3m
* formation energy (no corrections): -560 meV per atom


Record 3
Crystalline AlInS2 at its relaxed geometry, computed with PBEsol.

extended XYZ file:
```
8
Lattice="6.2609 0.1081 -0.1651 -2.5864 5.7027 0.1651 2.5864 2.4317 5.1609" Properties=species:S:1:pos:R:3 pbc="T T T"
S 6.5702 1.9461 2.2798
S 0.9839 5.4787 4.1301
S 4.1143 4.2458 3.2050
S 0.8534 4.8145 0.7070
Al 0.0000 4.0672 2.6630
Al 3.1305 6.1549 3.9120
In 0.0000 0.0000 0.0000
In 3.1305 2.0877 1.2490
```

* space-group type: I-42d
* formation energy (no corrections): -717 meV per atom


Record 4
Crystalline Ba2CuAgBi at its relaxed geometry, computed with PBEsol.

extended XYZ file:
```
5
Lattice="4.8749 0.0000 0.0000 0.0000 6.0957 0.0000 0.0000 0.0000 6.0957" Properties=species:S:1:pos:R:3 pbc="T T T"
Cu 0.0000 0.0000 0.0000
Bi 2.4374 0.0000 0.0000
Ag 2.4374 3.0478 3.0478
Ba 0.0000 0.0000 3.0478
Ba 0.0000 3.0478 0.0000
```

* space-group type: P4/mmm


Record 5
Crystalline CdW3 at its relaxed geometry, computed with PBEsol.

extended XYZ file:
```
4
Lattice="4.5262 0.0000 0.0000 2.2631 3.9198 0.0000 2.2631 1.3066 3.6956" Properties=species:S:1:pos:R:3 pbc="T T T"
Cd 0.0000 0.0000 0.0000
W 2.2631 1.3066 0.9239
W 4.5262 2.6132 1.8478
W 6.7892 3.9198 2.7717
```

* space-group type: Fm-3m


Record 6
Crystalline Mg5Tl4 at its relaxed geometry, computed with PBEsol.

extended XYZ file:
```
9
Lattice="4.6006 0.0000 0.0000 2.3003 6.8417 0.0000 2.3003 0.0000 6.8417" Properties=species:S:1:pos:R:3 pbc="T T T"
Mg 0.0000 0.0000 0.0000
Mg 4.6006 0.0000 4.5546
Mg 2.3003 0.0000 2.2871
Mg 4.6006 4.5546 0.0000
Mg 2.3003 2.2871 0.0000
Tl 2.3003 4.6630 2.1787
Tl 2.3003 2.1787 4.6630
Tl 4.6006 2.1787 2.1787
Tl 4.6006 4.6630 4.6630
```

* space-group type: I4/mmm
* ΔE to the lowest computed polymorph: 0.018 eV per atom


Record 7
Crystalline La2ReIr at its relaxed geometry, computed with PBEsol.

extended XYZ file:
```
4
Lattice="4.9916 0.0000 0.0000 2.4958 4.3229 0.0000 2.4958 1.4410 4.0756" Properties=species:S:1:pos:R:3 pbc="T T T"
Ir 0.0000 0.0000 0.0000
La 2.4958 1.4410 1.0189
La 7.4874 4.3229 3.0567
Re 4.9916 2.8819 2.0378
```

* space-group type: Fm-3m
* ΔE to the lowest computed polymorph: 0.021 eV per atom


Record 8
Crystalline CaScCr at its relaxed geometry, computed with PBEsol.

extended XYZ file:
```
3
Lattice="3.3712 0.0000 0.0000 0.0000 3.3712 0.0000 -1.6856 -1.6856 6.1178" Properties=species:S:1:pos:R:3 pbc="T T T"
Sc 0.0000 0.0000 3.6535
Cr 1.6856 1.6856 2.2364
Ca 0.0000 0.0000 0.2279
```

* space-group type: I4mm


Record 9
Crystalline BaFe2Se at its relaxed geometry, computed with PBEsol.

extended XYZ file:
```
4
Lattice="-0.1711 2.4629 -2.2832 -0.4051 -2.2846 -2.4340 -7.0485 0.3196 0.8731" Properties=species:S:1:pos:R:3 pbc="T T T"
Ba -5.5657 0.3284 -1.7049
Fe -0.6886 0.0312 0.0853
Fe -1.8769 0.1612 -2.1618
Se -3.0178 0.1368 0.3738
```

* space-group type: P4mm
* formation energy (no corrections): 112 meV per atom


Record 10
Crystalline CuSnH12N2O6 at its relaxed geometry, computed with PBEsol.

extended XYZ file:
```
22
Lattice="4.7827 0.0035 -0.0391 -0.2788 5.3991 -0.1210 -0.3121 -2.0693 6.4448" Properties=species:S:1:pos:R:3 pbc="T T T"
Cu -0.1560 -1.0347 3.2224
Sn 0.0000 0.0000 0.0000
H 1.6571 -1.5676 4.8987
H 2.5347 4.9009 1.3860
H 3.2161 0.1545 5.6138
H 0.9757 3.1788 0.6709
H 2.2046 1.8707 5.9786
H 1.9871 1.4625 0.3061
H 0.5943 1.3224 4.0104
H 3.5975 2.0109 2.2743
H 1.8918 0.3148 3.8908
H 2.2999 3.0185 2.3939
H 1.1753 0.9363 2.4997
H 3.0164 2.3970 3.7849
N 3.2019 2.7881 2.8319
N 0.9898 0.5452 3.4527
O 0.5075 3.3803 4.5253
O 3.6843 -0.0470 1.7593
O 1.1892 4.1743 0.6765
O 3.0025 -0.8410 5.6081
O 3.0959 1.7648 5.5237
O 1.0958 1.5684 0.7610
```

* space-group type: P-1


Record 11
Crystalline Tc3PdC at its relaxed geometry, computed with PBEsol.

extended XYZ file:
```
5
Lattice="-3.2323 -1.9044 -2.6507 3.0137 -3.1739 -1.3947 -1.2532 -2.7205 3.4828" Properties=species:S:1:pos:R:3 pbc="T T T"
C -0.7359 -3.8994 -0.2813
Tc 1.5069 -1.5869 -0.6974
Tc -0.6266 -1.3602 1.7414
Tc -1.6162 -0.9522 -1.3254
Pd 0.0000 0.0000 0.0000
```

* space-group type: Pm-3m


Record 12
Crystalline LaAl2Te2 at its relaxed geometry, computed with PBEsol.

extended XYZ file:
```
5
Lattice="-4.3853 1.2484 3.1450 2.4517 -5.2389 0.6204 2.9871 -0.9905 4.5582" Properties=species:S:1:pos:R:3 pbc="T T T"
Te 0.1772 -2.4260 6.0877
Te 0.8763 -2.5550 2.2360
Al -1.0679 -1.1015 3.8259
Al 2.1213 -3.8795 4.4978
La 0.0000 0.0000 0.0000
```

* space-group type: I4/mmm
* formation energy (no corrections): -486 meV per atom


Record 13
Crystalline ZrZn2Cd at its relaxed geometry, computed with PBEsol.

extended XYZ file:
```
4
Lattice="3.0484 0.0000 0.0000 0.0000 3.0484 0.0000 0.0000 0.0000 7.4756" Properties=species:S:1:pos:R:3 pbc="T T T"
Zn 0.0000 0.0000 5.5700
Zn 0.0000 0.0000 1.9063
Zr 1.5242 1.5242 0.0002
Cd 1.5242 1.5242 3.7381
```

* space-group type: P4/mmm


Record 14
Crystalline Ba3TlCo at its relaxed geometry, computed with PBEsol.

extended XYZ file:
```
5
Lattice="5.6789 0.0000 0.0000 0.0000 5.6789 0.0000 0.0000 0.0000 5.6789" Properties=species:S:1:pos:R:3 pbc="T T T"
Tl 2.8394 2.8394 2.8394
Co 0.0000 0.0000 0.0000
Ba 0.0000 2.8394 0.0000
Ba 0.0000 0.0000 2.8394
Ba 2.8394 0.0000 0.0000
```

* space-group type: Pm-3m


Record 15
Crystalline CdHg2 at its relaxed geometry, computed with PBEsol.

extended XYZ file:
```
3
Lattice="-1.8687 2.6486 0.3576 -1.2341 -1.2422 2.7512 6.0903 2.0560 1.7274" Properties=species:S:1:pos:R:3 pbc="T T T"
Hg 3.0600 1.8602 2.2125
Hg -0.0725 1.6022 2.6237
Cd 0.0000 0.0000 0.0000
```

* space-group type: I4/mmm
* ΔE to the lowest computed polymorph: 0.017 eV per atom


Record 16
Crystalline CdH4Br3N at its relaxed geometry, computed with PBEsol.

extended XYZ file:
```
36
Lattice="4.1113 0.0000 0.0000 0.0000 9.4271 0.0000 0.0000 0.0000 15.7523" Properties=species:S:1:pos:R:3 pbc="T T T"
Cd 1.0278 1.5474 14.8900
Cd 3.0835 7.8797 0.8623
Cd 1.0278 6.2610 8.7384
Cd 3.0835 3.1662 7.0139
H 1.0278 3.4377 3.4301
H 3.0835 5.9894 12.3222
H 1.0278 8.1513 4.4461
H 3.0835 1.2759 11.3062
H 1.0278 3.8982 1.7895
H 3.0835 5.5290 13.9629
H 1.0278 8.6118 6.0867
H 3.0835 0.8154 9.6656
H 0.1998 4.8565 2.9287
H 2.2555 4.5707 12.8236
H 1.8559 0.1429 4.9474
H 3.9115 9.2842 10.8049
H 3.9115 4.5707 12.8236
H 1.8559 4.8565 2.9287
H 2.2555 9.2842 10.8049
H 0.1998 0.1429 4.9474
Br 1.0278 2.6583 12.4278
Br 3.0835 6.7689 3.3245
Br 1.0278 7.3718 11.2007
Br 3.0835 2.0553 4.5516
Br 3.0835 3.1535 0.0767
Br 1.0278 6.2736 15.6756
Br 3.0835 7.8671 7.7994
Br 1.0278 1.5601 7.9529
Br 1.0278 0.2294 1.6074
Br 3.0835 9.1978 14.1450
Br 1.0278 4.9429 6.2688
Br 3.0835 4.4842 9.4835
N 1.0278 4.2366 2.7678
N 3.0835 5.1906 12.9845
N 1.0278 8.9501 5.1084
N 3.0835 0.4770 10.6439
```

* space-group type: Pnma


Record 17
Crystalline Sm3Ho at its relaxed geometry, computed with PBEsol.

extended XYZ file:
```
8
Lattice="5.6685 0.0000 0.0000 0.0000 7.1248 0.0000 0.0000 -3.5624 6.1702" Properties=species:S:1:pos:R:3 pbc="T T T"
Sm 1.4171 1.7797 5.1410
Sm 1.4171 0.0000 2.0585
Sm 1.4171 -1.7797 5.1410
Sm 4.2514 1.7827 1.0292
Sm 4.2514 3.5624 4.1118
Sm 4.2514 5.3421 1.0292
Ho 4.2514 0.0000 4.1135
Ho 1.4171 3.5624 2.0567
```

* space-group type: P6_3/mmc
* ΔE to the lowest computed polymorph: 0.015 eV per atom


Record 18
Crystalline HfPd2O at its relaxed geometry, computed with PBEsol.

extended XYZ file:
```
8
Lattice="7.7858 0.0000 0.0000 -3.8929 3.7940 2.2188 0.0000 4.1283 6.6012" Properties=species:S:1:pos:R:3 pbc="T T T"
Hf 3.8929 4.9932 6.0603
Hf 0.0000 0.0000 0.0000
O 0.0000 2.9291 2.7597
O 3.8929 2.0641 3.3006
Pd 1.1548 4.3936 4.1395
Pd -1.1548 6.4578 7.4401
Pd 5.8394 3.1089 4.0093
Pd 1.9465 1.8843 2.0510
```

* space-group type: I-42d
* formation energy (no corrections): -771 meV per atom


Record 19
Crystalline Na6Be8O11 at its relaxed geometry, computed with PBEsol.

extended XYZ file:
```
25
Lattice="5.2274 0.0520 0.0615 -1.4719 6.2299 -0.0061 -0.7243 -2.0714 7.9339" Properties=species:S:1:pos:R:3 pbc="T T T"
Na 3.7063 1.0061 1.7656
Na -0.6751 3.2044 6.2236
Na 3.1633 3.8655 0.0481
Na -0.1321 0.3450 7.9412
Na 3.6577 3.8047 3.3573
Na -0.6265 0.4059 4.6319
Be 3.7147 -1.5509 6.7690
Be -0.6835 5.7614 1.2203
Be 1.0737 4.2746 4.3991
Be 1.9575 -0.0641 3.5902
Be 1.4307 1.9321 2.9103
Be 1.8926 0.1649 5.9142
Be 1.6005 2.2784 5.0790
Be 1.1386 4.0457 2.0751
O 0.8711 0.4464 2.4865
O 1.6511 5.1454 3.0976
O 2.1601 3.7642 5.5028
O 0.0000 0.0000 0.0000
O -0.1102 4.3346 1.2115
O 3.1414 -0.1241 6.7778
O 0.4804 2.8339 3.9002
O 2.5508 1.3767 4.0891
O 0.9605 1.3863 6.2241
O 2.0707 2.8242 1.7652
O 1.3801 -0.9349 4.8917
```

* space-group type: P-1
* formation energy (no corrections): -2241 meV per atom


Record 20
Crystalline Li2CaP at its relaxed geometry, computed with PBEsol.

extended XYZ file:
```
4
Lattice="-0.0641 -1.3107 2.9511 -0.2913 -3.6052 -1.6075 5.9452 -0.4490 -0.0703" Properties=species:S:1:pos:R:3 pbc="T T T"
P -0.1777 -2.4579 0.6718
Ca 2.7949 -2.6824 0.6367
Li 4.8345 -0.3651 -0.0572
Li 1.1107 -0.0839 -0.0131
```

* space-group type: Pmmm


Record 21
Crystalline La4YCu at its relaxed geometry, computed with PBEsol.

extended XYZ file:
```
6
Lattice="-0.1212 6.1996 1.5328 -5.5785 3.0882 0.3771 -2.2535 1.8406 5.6862" Properties=species:S:1:pos:R:3 pbc="T T T"
Cu 0.0000 0.0000 0.0000
La -2.9745 4.1620 2.8409
La -4.1103 5.0896 5.7068
La -3.0355 7.2866 3.6134
La -5.7861 5.7184 3.0309
Y -5.9649 8.3462 5.6970
```

* space-group type: F-43m


Record 22
Crystalline KPb7 at its relaxed geometry, computed with PBEsol.

extended XYZ file:
```
8
Lattice="-4.3643 5.3870 -0.7820 -6.8706 -1.1170 -0.4750 -4.2088 1.8692 5.2412" Properties=species:S:1:pos:R:3 pbc="T T T"
K 0.0000 0.0000 0.0000
Pb -2.1044 0.9346 2.6206
Pb -3.4353 -0.5585 -0.2375
Pb -2.1821 2.6935 -0.3910
Pb -5.6174 2.1350 -0.6285
Pb -4.2866 3.6281 2.2296
Pb -5.5397 0.3761 2.3831
Pb -7.7219 3.0696 1.9921
```

* space-group type: Fm-3m


Record 23
Crystalline CaMoRh2 at its relaxed geometry, computed with PBEsol.

extended XYZ file:
```
4
Lattice="-3.3203 -3.0256 0.1677 -0.5255 -2.9485 -3.3541 0.9503 -4.3456 0.6574" Properties=species:S:1:pos:R:3 pbc="T T T"
Ca -1.6601 -1.5128 0.0839
Mo 0.2124 -3.6471 -1.3483
Rh -0.5119 -6.2265 -1.9803
Rh -2.3836 -4.0932 -0.5487
```

* space-group type: Fm-3m
* ΔE to the lowest computed polymorph: 0.281 eV per atom


Record 24
Crystalline KSr2Ag at its relaxed geometry, computed with PBEsol.

extended XYZ file:
```
4
Lattice="3.9298 0.0000 0.0000 0.0000 3.9298 0.0000 0.0000 0.0000 10.8690" Properties=species:S:1:pos:R:3 pbc="T T T"
Sr 0.0000 0.0000 3.5932
Sr 0.0000 0.0000 7.2758
K 1.9649 1.9649 0.0000
Ag 1.9649 1.9649 5.4345
```

* space-group type: P4/mmm
* ΔE to the lowest computed polymorph: 0.000 eV per atom


Record 25
Crystalline YBe2Ir2 at its relaxed geometry, computed with PBEsol.

extended XYZ file:
```
5
Lattice="3.9291 0.0000 0.0000 0.0000 3.9291 0.0000 -1.9646 -1.9646 4.7682" Properties=species:S:1:pos:R:3 pbc="T T T"
Y 0.0000 0.0000 0.0000
Be 0.0000 1.9646 2.3841
Be 1.9646 0.0000 2.3841
Ir 0.0000 0.0000 3.5027
Ir 1.9646 1.9646 1.2655
```

* space-group type: I4/mmm


no.,electronic total energy (eV/atom)
1,-4.281
2,-3.483
3,-4.678
4,-3.333
5,-9.953
6,-2.169
7,-8.258
8,-5.855
9,-5.870
10,-5.263
11,-6.314
12,-4.602
13,-3.521
14,-3.226
15,-0.768
16,-3.839
17,-5.035
18,-7.689
19,-6.167
20,-3.246
21,-4.905
22,-3.668
23,-7.376
24,-2.100
25,-7.432